Density functional theory data (PBE) for a relaxed structure of SrIn.

Its crystal system is hexagonal. The energy relative to the elements is 0.19 eV per atom.

Geometry as CIF:
```
data_SrIn
_chemical_formula_sum 'Sr2 In2'
_symmetry_space_group_name_H-M 'P 1'
_symmetry_Int_Tables_number 1
_symmetry_space_group_name_Hall 'P 1'
_cell_length_a 5.9070
_cell_length_b 5.9070
_cell_length_c 6.8040
_cell_angle_alpha 90.00
_cell_angle_beta 90.00
_cell_angle_gamma 120.00
loop_
_atom_site_label
_atom_site_type_symbol
_atom_site_fract_x
_atom_site_fract_y
_atom_site_fract_z
_atom_site_occupancy
Sr1 Sr 0.3333 0.6667 0.2500 1
Sr2 Sr 0.6667 0.3333 0.7500 1
In1 In 0.3333 0.6667 0.7500 1
In2 In 0.6667 0.3333 0.2500 1
```